No. 1
Entry from Alexandria via LeMat-Bulk: a relaxed BaPN2O crystal (GGA-PBE).

a = 3.6420 Å, b = 3.6420 Å, c = 4.4954 Å
α = 90.00°, β = 90.00°, γ = 90.00°
Space group P4/mmm (No. 123)
Asymmetric unit:
Ba 0.0000 0.0000 0.0000
P 0.5000 0.5000 0.5000
N 0.0000 0.5000 0.5000
O 0.5000 0.5000 0.0000

E_tot: -30.5 eV/cell
volume: 11.926 Å³ per atom
total moment: 0.551 μB/f.u.


No. 2
Entry from Alexandria via LeMat-Bulk: a relaxed Ba6P2NO crystal (GGA-PBE).

a = 13.1562 Å, b = 7.6478 Å, c = 7.5441 Å
α = 90.00°, β = 124.79°, γ = 90.00°
Space group C2/m (No. 12)
Asymmetric unit:
Ba 0.0536 0.2495 0.3023
Ba 0.2473 0.0000 0.1501
P 0.2487 0.0000 0.7278
N 0.0000 0.0000 0.0000
O 0.0000 0.5000 0.5000

E_tot: -91.8 eV/cell
volume: 31.167 Å³ per atom
total moment: 0.000 μB/f.u.


No. 3
Entry from Alexandria via LeMat-Bulk: a relaxed BaPN2O crystal (GGA-PBE).

a = 5.4929 Å, b = 5.4929 Å, c = 4.4960 Å
α = 90.00°, β = 90.00°, γ = 90.00°
Space group P4/mmm (No. 123)
Asymmetric unit:
Ba 0.0000 0.0000 0.0000
P 0.5000 0.5000 0.5000
N 0.0000 0.5000 0.0000
O 0.0000 0.0000 0.5000

E_tot: -19.8 eV/cell
volume: 27.131 Å³ per atom
total moment: 2.126 μB/f.u.


No. 4
Entry from Alexandria via LeMat-Bulk: a relaxed Ba2PaNO3 crystal (GGA-PBE).

a = 4.4206 Å, b = 4.4927 Å, c = 13.7249 Å
α = 90.00°, β = 90.00°, γ = 90.00°
Space group Immm (No. 71)
Asymmetric unit:
Ba 0.0000 0.0000 0.1467
Pa 0.0000 0.0000 0.5000
N 0.0000 0.5000 0.0000
O 0.0000 0.0000 0.3377
O 0.0000 0.5000 0.5000

E_tot: -110.3 eV/cell
volume: 19.470 Å³ per atom
total moment: 0.000 μB/f.u.


No. 5
Entry from Alexandria via LeMat-Bulk: a relaxed Ba2PaN2O2 crystal (GGA-PBE).

a = 4.3966 Å, b = 4.3966 Å, c = 13.9562 Å
α = 90.00°, β = 90.00°, γ = 90.00°
Space group I4/mmm (No. 139)
Asymmetric unit:
Ba 0.0000 0.0000 0.1490
Pa 0.0000 0.0000 0.5000
N 0.0000 0.5000 0.0000
O 0.0000 0.0000 0.3394

E_tot: -107.8 eV/cell
volume: 19.269 Å³ per atom
total moment: 0.000 μB/f.u.


No. 6
Entry from Alexandria via LeMat-Bulk: a relaxed Ba6PbNO crystal (GGA-PBE).

a = 7.4717 Å, b = 7.4717 Å, c = 7.3125 Å
α = 90.00°, β = 90.00°, γ = 120.00°
Space group P312 (No. 149)
Asymmetric unit:
Ba 0.0517 0.3357 0.2198
Pb 0.6667 0.3333 0.5000
N 0.3333 0.6667 0.0000
O 0.0000 0.0000 0.0000

E_tot: -35.2 eV/cell
volume: 39.287 Å³ per atom
total moment: 2.125 μB/f.u.


No. 7
Entry from Alexandria via LeMat-Bulk: a relaxed BaPdNO2 crystal (GGA-PBE).

a = 4.4721 Å, b = 4.4721 Å, c = 5.5034 Å
α = 90.00°, β = 90.00°, γ = 90.00°
Space group P4/mmm (No. 123)
Asymmetric unit:
Ba 0.0000 0.0000 0.0000
Pd 0.5000 0.5000 0.5000
N 0.0000 0.0000 0.5000
O 0.0000 0.5000 0.0000

E_tot: -20.1 eV/cell
volume: 22.013 Å³ per atom
total moment: 3.017 μB/f.u.


No. 8
Entry from Alexandria via LeMat-Bulk: a relaxed BaPdNO2 crystal (GGA-PBE).

a = 4.3824 Å, b = 4.3824 Å, c = 3.7694 Å
α = 90.00°, β = 90.00°, γ = 90.00°
Space group P4/mmm (No. 123)
Asymmetric unit:
Ba 0.0000 0.0000 0.0000
Pd 0.5000 0.5000 0.5000
N 0.5000 0.5000 0.0000
O 0.0000 0.5000 0.5000

E_tot: -28.3 eV/cell
volume: 14.479 Å³ per atom
total moment: 0.000 μB/f.u.


No. 9
Entry from Alexandria via LeMat-Bulk: a relaxed BaPu2NO5 crystal (GGA-PBE).

a = 4.2738 Å, b = 4.2738 Å, c = 8.4405 Å
α = 90.00°, β = 90.00°, γ = 90.00°
Space group P4/mmm (No. 123)
Asymmetric unit:
Ba 0.0000 0.0000 0.0000
Pu 0.5000 0.5000 0.2604
N 0.5000 0.5000 0.5000
O 0.0000 0.5000 0.2317
O 0.5000 0.5000 0.0000

E_tot: -85.3 eV/cell
volume: 17.130 Å³ per atom
total moment: 5.000 μB/f.u.


No. 10
Entry from Alexandria via LeMat-Bulk: a relaxed Ba2PuN2O2 crystal (GGA-PBE).

a = 3.5860 Å, b = 6.1888 Å, c = 11.3921 Å
α = 90.00°, β = 90.00°, γ = 90.00°
Space group Immm (No. 71)
Asymmetric unit:
Ba 0.0000 0.0000 0.1568
Pu 0.0000 0.5000 0.0000
N 0.0000 0.5000 0.1655
O 0.0000 0.2501 0.5000

E_tot: -112.6 eV/cell
volume: 18.059 Å³ per atom
total moment: 2.000 μB/f.u.


No. 11
Entry from Alexandria via LeMat-Bulk: a relaxed Ba2PuNO3 crystal (GGA-PBE).

a = 4.2517 Å, b = 4.4045 Å, c = 13.7811 Å
α = 90.00°, β = 90.00°, γ = 90.00°
Space group Immm (No. 71)
Asymmetric unit:
Ba 0.0000 0.0000 0.1471
Pu 0.0000 0.0000 0.5000
N 0.0000 0.5000 0.0000
O 0.0000 0.0000 0.3401
O 0.0000 0.5000 0.5000

E_tot: -115.6 eV/cell
volume: 18.434 Å³ per atom
total moment: 3.000 μB/f.u.


No. 12
Entry from Alexandria via LeMat-Bulk: a relaxed RbBaNO2 crystal (GGA-PBE).

a = 4.8823 Å, b = 4.8823 Å, c = 4.6018 Å
α = 90.00°, β = 90.00°, γ = 90.00°
Space group P4/mmm (No. 123)
Asymmetric unit:
Rb 0.0000 0.0000 0.0000
Ba 0.5000 0.5000 0.5000
N 0.0000 0.0000 0.5000
O 0.0000 0.5000 0.0000

E_tot: -19.5 eV/cell
volume: 21.938 Å³ per atom
total moment: 3.000 μB/f.u.


No. 13
Entry from Alexandria via LeMat-Bulk: a relaxed RbBaNO2 crystal (GGA-PBE).

a = 4.9887 Å, b = 4.9887 Å, c = 5.4197 Å
α = 90.00°, β = 90.00°, γ = 90.00°
Space group P4/mmm (No. 123)
Asymmetric unit:
Rb 0.0000 0.0000 0.0000
Ba 0.5000 0.5000 0.5000
N 0.5000 0.5000 0.0000
O 0.0000 0.5000 0.5000

E_tot: -21.8 eV/cell
volume: 26.976 Å³ per atom
total moment: 4.000 μB/f.u.


No. 14
Entry from Alexandria via LeMat-Bulk: a relaxed BaReN2O crystal (GGA-PBE).

a = 4.5462 Å, b = 4.5462 Å, c = 4.3478 Å
α = 90.00°, β = 90.00°, γ = 90.00°
Space group P4/mmm (No. 123)
Asymmetric unit:
Ba 0.0000 0.0000 0.0000
Re 0.5000 0.5000 0.5000
N 0.0000 0.5000 0.0000
O 0.0000 0.0000 0.5000

E_tot: -22.0 eV/cell
volume: 17.972 Å³ per atom
total moment: 0.224 μB/f.u.


No. 15
Entry from Alexandria via LeMat-Bulk: a relaxed BaReN2O crystal (GGA-PBE).

a = 3.9963 Å, b = 3.9963 Å, c = 4.1549 Å
α = 90.00°, β = 90.00°, γ = 90.00°
Space group P4/mmm (No. 123)
Asymmetric unit:
Ba 0.0000 0.0000 0.0000
Re 0.5000 0.5000 0.5000
N 0.0000 0.5000 0.5000
O 0.5000 0.5000 0.0000

E_tot: -40.5 eV/cell
volume: 13.271 Å³ per atom
total moment: 0.000 μB/f.u.


No. 16
Entry from Alexandria via LeMat-Bulk: a relaxed Ba6Re2N6O crystal (GGA-PBE).

a = 8.1982 Å, b = 8.1982 Å, c = 17.6641 Å
α = 90.00°, β = 90.00°, γ = 120.00°
Space group R-3 (No. 148, hexagonal axes)
Asymmetric unit:
Ba 0.0150 0.4300 0.2484
Re 0.0000 0.0000 0.2502
N 0.0072 0.2266 0.7481
O 0.0000 0.0000 0.5000

E_tot: -315.0 eV/cell
volume: 22.848 Å³ per atom
total moment: 0.768 μB/f.u.


No. 17
Entry from Alexandria via LeMat-Bulk: a relaxed BaRhN2O crystal (GGA-PBE).

a = 3.9026 Å, b = 3.9026 Å, c = 4.6387 Å
α = 90.00°, β = 90.00°, γ = 90.00°
Space group P4/mmm (No. 123)
Asymmetric unit:
Ba 0.0000 0.0000 0.0000
Rh 0.5000 0.5000 0.5000
N 0.0000 0.5000 0.5000
O 0.5000 0.5000 0.0000

E_tot: -31.6 eV/cell
volume: 14.130 Å³ per atom
total moment: 0.374 μB/f.u.


No. 18
Entry from Alexandria via LeMat-Bulk: a relaxed Ba2RhNO crystal (GGA-PBE).

a = 5.3348 Å, b = 5.3348 Å, c = 3.7293 Å
α = 90.00°, β = 90.00°, γ = 90.00°
Space group P4/mmm (No. 123)
Asymmetric unit:
Ba 0.0000 0.5000 0.0000
Rh 0.0000 0.0000 0.5000
N 0.5000 0.5000 0.5000
O 0.5000 0.5000 0.0000

E_tot: -24.3 eV/cell
volume: 21.228 Å³ per atom
total moment: 0.002 μB/f.u.


No. 19
Entry from Alexandria via LeMat-Bulk: a relaxed BaRhN2O crystal (GGA-PBE).

a = 5.2614 Å, b = 5.2614 Å, c = 4.6456 Å
α = 90.00°, β = 90.00°, γ = 90.00°
Space group P4/mmm (No. 123)
Asymmetric unit:
Ba 0.0000 0.0000 0.0000
Rh 0.5000 0.5000 0.5000
N 0.0000 0.5000 0.0000
O 0.0000 0.0000 0.5000

E_tot: -20.4 eV/cell
volume: 25.721 Å³ per atom
total moment: 3.056 μB/f.u.


No. 20
Entry from Alexandria via LeMat-Bulk: a relaxed BaRuN2O crystal (GGA-PBE).

a = 4.5984 Å, b = 4.5984 Å, c = 4.3770 Å
α = 90.00°, β = 90.00°, γ = 90.00°
Space group P4/mmm (No. 123)
Asymmetric unit:
Ba 0.0000 0.0000 0.0000
Ru 0.5000 0.5000 0.5000
N 0.0000 0.5000 0.0000
O 0.0000 0.0000 0.5000

E_tot: -20.7 eV/cell
volume: 18.510 Å³ per atom
total moment: 0.180 μB/f.u.


No. 21
Entry from Alexandria via LeMat-Bulk: a relaxed BaRuN2O crystal (GGA-PBE).

a = 3.8951 Å, b = 3.8951 Å, c = 4.4709 Å
α = 90.00°, β = 90.00°, γ = 90.00°
Space group P4/mmm (No. 123)
Asymmetric unit:
Ba 0.0000 0.0000 0.0000
Ru 0.5000 0.5000 0.5000
N 0.0000 0.5000 0.5000
O 0.5000 0.5000 0.0000

E_tot: -35.0 eV/cell
volume: 13.566 Å³ per atom
total moment: 0.000 μB/f.u.


No. 22
Entry from Alexandria via LeMat-Bulk: a relaxed BaSN2O crystal (GGA-PBE).

a = 4.5196 Å, b = 4.5196 Å, c = 3.9681 Å
α = 90.00°, β = 90.00°, γ = 90.00°
Space group P4/mmm (No. 123)
Asymmetric unit:
Ba 0.0000 0.0000 0.0000
S 0.5000 0.5000 0.0000
N 0.0000 0.5000 0.5000
O 0.5000 0.5000 0.5000

E_tot: -21.7 eV/cell
volume: 16.211 Å³ per atom
total moment: 3.769 μB/f.u.


No. 23
Entry from Alexandria via LeMat-Bulk: a relaxed BaS2NO crystal (GGA-PBE).

a = 6.2707 Å, b = 6.2707 Å, c = 5.4347 Å
α = 90.00°, β = 90.00°, γ = 90.00°
Space group P4/mmm (No. 123)
Asymmetric unit:
Ba 0.0000 0.0000 0.0000
S 0.0000 0.5000 0.0000
N 0.0000 0.0000 0.5000
O 0.5000 0.5000 0.5000

offset from the most stable computed form: 102.3 kJ/mol of atoms
E_tot: -16.2 eV/cell
volume: 42.740 Å³ per atom
total moment: 7.000 μB/f.u.


No. 24
Entry from Alexandria via LeMat-Bulk: a relaxed BaSN2O crystal (GGA-PBE).

a = 5.6026 Å, b = 5.6026 Å, c = 4.6753 Å
α = 90.00°, β = 90.00°, γ = 90.00°
Space group P4/mmm (No. 123)
Asymmetric unit:
Ba 0.0000 0.0000 0.0000
S 0.5000 0.5000 0.5000
N 0.0000 0.5000 0.0000
O 0.0000 0.0000 0.5000

E_tot: -18.8 eV/cell
volume: 29.350 Å³ per atom
total moment: 3.655 μB/f.u.


No. 25
Entry from Alexandria via LeMat-Bulk: a relaxed BaSN2O crystal (GGA-PBE).

a = 3.7623 Å, b = 3.7623 Å, c = 4.5720 Å
α = 90.00°, β = 90.00°, γ = 90.00°
Space group P4/mmm (No. 123)
Asymmetric unit:
Ba 0.0000 0.0000 0.0000
S 0.5000 0.5000 0.5000
N 0.0000 0.5000 0.5000
O 0.5000 0.5000 0.0000

E_tot: -26.2 eV/cell
volume: 12.944 Å³ per atom
total moment: 0.000 μB/f.u.


No. 26
Entry from Alexandria via LeMat-Bulk: a relaxed BaS2NO crystal (GGA-PBE).

a = 4.0483 Å, b = 4.0483 Å, c = 5.6547 Å
α = 90.00°, β = 90.00°, γ = 90.00°
Space group P4/mmm (No. 123)
Asymmetric unit:
Ba 0.0000 0.0000 0.0000
S 0.0000 0.5000 0.5000
N 0.5000 0.5000 0.0000
O 0.5000 0.5000 0.5000

offset from the most stable computed form: 0.0 kJ/mol of atoms
E_tot: -21.5 eV/cell
volume: 18.535 Å³ per atom
total moment: 2.564 μB/f.u.


No. 27
Entry from Alexandria via LeMat-Bulk: a relaxed BaScNO2 crystal (GGA-PBE).

a = 4.2295 Å, b = 4.2295 Å, c = 4.3298 Å
α = 90.00°, β = 90.00°, γ = 90.00°
Space group P4/mmm (No. 123)
Asymmetric unit:
Ba 0.0000 0.0000 0.0000
Sc 0.5000 0.5000 0.5000
N 0.5000 0.5000 0.0000
O 0.0000 0.5000 0.5000

E_tot: -35.7 eV/cell
volume: 15.491 Å³ per atom
total moment: 2.006 μB/f.u.


| no. | formation energy (no corrections) (meV per atom) |
| --- | --- |
| 1 | -302 |
| 2 | -1027 |
| 3 | 1824 |
| 4 | -2655 |
| 5 | -1997 |
| 6 | -739 |
| 7 | 1048 |
| 8 | -582 |
| 9 | -2396 |
| 10 | -1651 |
| 11 | -2343 |
| 12 | 320 |
| 13 | -131 |
| 14 | 2791 |
| 15 | -901 |
| 16 | -912 |
| 17 | -152 |
| 18 | 34 |
| 19 | 2091 |
| 20 | 2417 |
| 21 | -441 |
| 22 | 1183 |
| 23 | 1458 |
| 24 | 1777 |
| 25 | 283 |
| 26 | 398 |
| 27 | -1848 |